{"formula": "TiCrAs2Br", "functional": "SCAN", "state": "PBEsol geometry", "mass_density_g_cm3": 5.1, "raw_formation_energy_ev_per_fu": 0.94, "sg": "P4/mmm (123)", "energy_ev_per_atom": -18.663, "lattice": [[4.594, 0.000, 0.000], [0.000, 4.594, 0.000], [0.000, 0.000, 5.036]], "species": ["Cr", "Ti", "As", "As", "Br"], "frac_coords": [[0.000, 0.000, 0.000], [0.500, 0.500, 0.500], [0.000, 0.500, 0.000], [0.500, 0.000, 0.000], [0.000, 0.000, 0.500]]}